Record 1
First-principles (GGA-PBE) data for a geometry-optimized HgW3Br structure, as listed in the Alexandria database.

a b c (Å): 4.623 4.623 4.623
angles (deg): 90.00 90.00 90.00
Fractional coordinates of all 5 atoms:
Hg1 0.000 0.000 0.000
W1 0.000 0.500 0.500
W2 0.500 0.000 0.500
W3 0.500 0.500 0.000
Br1 0.500 0.500 0.500

**Calculated total energy**: -6.02 eV per atom
**E above lowest polymorph**: 0 meV per atom



Record 2
First-principles (GGA-PBE) data for a geometry-optimized Ti4NiBi2 structure, as listed in the Alexandria database.

a b c (Å): 7.927 7.927 7.927
angles (deg): 95.26 95.26 144.75
Fractional coordinates of all 14 atoms:
Ti1 0.081 0.804 0.885
Ti2 0.196 0.081 0.277
Ti3 0.304 0.581 0.885
Ti4 0.419 0.304 0.723
Ti5 0.581 0.696 0.277
Ti6 0.696 0.419 0.115
Ti7 0.804 0.919 0.723
Ti8 0.919 0.196 0.115
Ni1 0.250 0.250 0.000
Ni2 0.750 0.750 0.000
Bi1 0.140 0.360 0.500
Bi2 0.360 0.860 0.220
Bi3 0.640 0.140 0.780
Bi4 0.860 0.640 0.500

**Calculated total energy**: -6.73 eV per atom